Record 1
{"formula": "Ba3In", "functional": "GGA-PBE", "state": "relaxed", "lattice": [[2.2101, 1.2760, 12.8787], [-2.2101, 1.2760, 12.8787], [0.0000, -2.5520, 12.8787]], "species": ["Ba", "Ba", "Ba", "In"], "fractional_positions": [[0.0000, 0.0000, 0.0000], [0.2329, 0.2329, 0.2329], [0.7671, 0.7671, 0.7671], [0.5000, 0.5000, 0.5000]], "n_ef_per_ev_cell": 4.53, "volume_a3_per_cell": 217.91, "delta_e_f_ev_per_fu": -0.40, "rho_kg_m3": 4014, "sg": "No. 166"}


Record 2
{"formula": "Tl2Ag2WSe6", "functional": "GGA-PBE", "state": "relaxed", "lattice": [[3.5277, -5.8159, 0.0000], [3.5277, 5.8159, 0.0000], [-2.5119, 0.0000, 7.1372]], "species": ["Tl", "Tl", "Ag", "Ag", "W", "Se", "Se", "Se", "Se", "Se", "Se"], "fractional_positions": [[0.1570, 0.8430, 0.0000], [0.8430, 0.1570, 0.0000], [0.3233, 0.6767, 0.5000], [0.6767, 0.3233, 0.5000], [0.0000, 0.0000, 0.5000], [0.0629, 0.3648, 0.7146], [0.2538, 0.2538, 0.3187], [0.3648, 0.0629, 0.7146], [0.6352, 0.9371, 0.2854], [0.7462, 0.7462, 0.6813], [0.9371, 0.6352, 0.2854]], "n_ef_per_ev_cell": 6.10, "volume_a3_per_cell": 292.86, "rho_kg_m3": 7270, "raw_formation_energy_kj_per_mol_atoms": -11.7, "sg": "No. 12"}


Record 3
{"formula": "Li2SnTe2", "functional": "GGA-PBE", "state": "relaxed", "lattice": [[8.6394, 0.0000, 0.0000], [0.0000, 8.6394, 0.0000], [0.0000, 0.0000, 3.3826]], "species": ["Li", "Li", "Li", "Li", "Sn", "Sn", "Te", "Te", "Te", "Te"], "fractional_positions": [[0.1301, 0.3699, 0.0000], [0.3699, 0.8699, 0.0000], [0.6301, 0.1301, 0.0000], [0.8699, 0.6301, 0.0000], [0.0000, 0.0000, 0.5000], [0.5000, 0.5000, 0.5000], [0.1687, 0.6687, 0.5000], [0.3313, 0.1687, 0.5000], [0.6687, 0.8313, 0.5000], [0.8313, 0.3313, 0.5000]], "n_ef_per_ev_cell": 2.54, "volume_a3_per_cell": 252.48, "rho_kg_m3": 5101, "raw_formation_energy_kj_per_mol_atoms": -52.1, "sg": "No. 127"}


Record 4
{"formula": "Nb2Ge2Ru", "functional": "GGA-PBE", "state": "relaxed", "lattice": [[6.2903, 0.0000, 0.0000], [0.0000, 6.2903, 0.0000], [0.0000, 0.0000, 4.1499]], "species": ["Nb", "Nb", "Nb", "Nb", "Ge", "Ge", "Ge", "Ge", "Ru", "Ru"], "fractional_positions": [[0.1590, 0.3410, 0.0000], [0.3410, 0.8410, 0.0000], [0.6590, 0.1590, 0.0000], [0.8410, 0.6590, 0.0000], [0.1420, 0.6420, 0.5000], [0.3580, 0.1420, 0.5000], [0.6420, 0.8580, 0.5000], [0.8580, 0.3580, 0.5000], [0.0000, 0.0000, 0.5000], [0.5000, 0.5000, 0.5000]], "n_ef_per_ev_cell": 3.67, "volume_a3_per_cell": 164.20, "delta_e_f_ev_per_fu": -1.68, "rho_kg_m3": 8741, "sg": "No. 127"}


Record 5
{"formula": "Zr5Al", "functional": "GGA-PBE", "state": "relaxed", "lattice": [[0.0000, 4.0854, 4.0854], [4.0854, 0.0000, 4.0854], [4.0854, 4.0854, 0.0000]], "species": ["Zr", "Zr", "Zr", "Zr", "Zr", "Al"], "fractional_positions": [[0.0000, 0.0000, 0.0000], [0.1191, 0.6270, 0.6270], [0.6270, 0.1191, 0.6270], [0.6270, 0.6270, 0.1191], [0.6270, 0.6270, 0.6270], [0.2500, 0.2500, 0.2500]], "n_ef_per_ev_cell": 9.21, "volume_a3_per_cell": 136.37, "delta_e_f_ev_per_fu": 1.35, "rho_kg_m3": 5882, "sg": "No. 216"}


Record 6
{"formula": "TbBiCl", "functional": "GGA-PBE", "state": "relaxed", "lattice": [[4.9627, 0.0000, 0.0000], [-2.4814, 4.2978, 0.0000], [0.0000, 0.0000, 3.7524]], "species": ["Tb", "Bi", "Cl"], "fractional_positions": [[0.0000, 0.0000, 0.0000], [0.6667, 0.3333, 0.5000], [0.3333, 0.6667, 0.0000]], "n_ef_per_ev_cell": 4.04, "volume_a3_per_cell": 80.04, "rho_kg_m3": 8369, "raw_formation_energy_kj_per_mol_atoms": -98.3, "sg": "No. 187"}